# 1
## CdAg12Pd7 (PBE)

Data for CdAg12Pd7 after structural relaxation.

Values from the calculation:
ΔH_f (0 K) ... 0.147 eV per atom

Geometry as POSCAR:
```
CdAg12Pd7
1.0
-2.910 4.173 5.382
2.605 -4.298 5.440
6.156 4.014 0.916
Pd Ag Cd
7 12 1
Direct
0.500 0.500 0.500 Pd
0.891 0.967 0.655 Pd
0.033 0.345 0.109 Pd
0.109 0.033 0.345 Pd
0.655 0.891 0.967 Pd
0.967 0.655 0.891 Pd
0.345 0.109 0.033 Pd
0.147 0.384 0.456 Ag
0.853 0.616 0.544 Ag
0.742 0.589 0.197 Ag
0.197 0.742 0.589 Ag
0.589 0.197 0.742 Ag
0.384 0.456 0.147 Ag
0.456 0.147 0.384 Ag
0.258 0.411 0.803 Ag
0.544 0.853 0.616 Ag
0.411 0.803 0.258 Ag
0.803 0.258 0.411 Ag
0.616 0.544 0.853 Ag
0.000 0.000 0.000 Cd
```

# 2
## Nd2BeSi (PBE)

Data for Nd2BeSi after structural relaxation.

Values from the calculation:
E_form (uncorrected) ... 0.529 eV/atom

Geometry as POSCAR:
```
Nd2BeSi
1.0
-3.700 1.833 -0.863
-2.624 -1.759 -2.796
-6.047 -4.770 5.493
Si Be Nd
1 1 2
Direct
0.500 0.500 0.500 Si
0.000 0.000 0.000 Be
0.109 0.109 0.672 Nd
0.891 0.891 0.328 Nd
```

# 3
## Sc8Cd2Pb (PBE)

Data for Sc8Cd2Pb after structural relaxation.

Values from the calculation:
ΔH_f (0 K) ... -0.052 eV per atom

Geometry as POSCAR:
```
Sc8Cd2Pb
1.0
5.085 -0.289 -0.434
-1.263 7.980 -0.604
-1.263 -3.631 7.132
Pb Sc Cd
1 8 2
Direct
0.500 0.000 0.000 Pb
0.500 0.781 0.219 Sc
0.127 0.325 0.099 Sc
0.873 0.901 0.675 Sc
0.500 0.219 0.781 Sc
0.127 0.099 0.325 Sc
0.703 0.407 0.407 Sc
0.873 0.675 0.901 Sc
0.297 0.593 0.593 Sc
0.000 0.695 0.305 Cd
0.000 0.305 0.695 Cd
```

# 4
## Cs2IrPb (PBE)

Data for Cs2IrPb after structural relaxation.

Values from the calculation:
Polymorph energy (0 for the lowest one) ... 0 meV per atom
ΔH_f (0 K) ... 0.336 eV per atom

Geometry as POSCAR:
```
Cs2IrPb
1.0
-6.424 6.424 2.594
6.424 -6.424 2.594
6.424 6.424 -2.594
Ir Cs Pb
2 4 2
Direct
0.500 0.500 0.000 Ir
0.750 0.250 0.500 Ir
0.125 0.287 0.662 Cs
0.537 0.875 0.162 Cs
0.625 0.463 0.338 Cs
0.713 0.375 0.838 Cs
0.000 0.000 0.000 Pb
0.250 0.750 0.500 Pb
```

# 5
## TmNpTeSe2 (PBE)

Data for TmNpTeSe2 after structural relaxation.

Values from the calculation:
E_form (uncorrected) ... -0.953 eV/atom

Geometry as POSCAR:
```
TmNpTeSe2
1.0
4.551 0.000 0.000
0.000 4.551 0.000
-2.275 -2.275 6.918
Te Se Tm Np
1 2 1 1
Direct
0.504 0.504 0.009 Te
0.253 0.753 0.505 Se
0.753 0.253 0.505 Se
0.864 0.864 0.728 Tm
0.127 0.127 0.253 Np
```

# 6
## ScCuBr2 (PBE)

Data for ScCuBr2 after structural relaxation.

Values from the calculation:
E_form (uncorrected) ... -0.349 eV/atom
Polymorph energy (0 for the lowest one) ... 395 meV per atom

Geometry as POSCAR:
```
ScCuBr2
1.0
5.580 0.018 0.024
-0.994 5.490 0.024
1.304 1.567 2.996
Cu Br Sc
1 2 1
Direct
0.500 0.000 0.500 Cu
0.000 0.000 0.000 Br
0.500 0.500 0.000 Br
0.000 0.500 0.500 Sc
```

# 7
## MnV5Os2 (PBE)

Data for MnV5Os2 after structural relaxation.

Values from the calculation:
ΔH_f (0 K) ... -0.306 eV per atom

Geometry as POSCAR:
```
MnV5Os2
1.0
3.927 0.000 -1.472
-0.552 3.888 -1.472
0.259 0.299 6.663
V Mn Os
5 1 2
Direct
0.620 0.120 0.239 V
0.120 0.620 0.239 V
0.880 0.380 0.761 V
0.500 0.500 0.000 V
0.380 0.880 0.761 V
0.000 0.000 0.000 Mn
0.750 0.750 0.501 Os
0.250 0.250 0.499 Os
```

# 8
## Ba2SO4 (PBE)

Data for Ba2SO4 after structural relaxation.

Values from the calculation:
E_form (uncorrected) ... -1.759 eV/atom

Geometry as POSCAR:
```
Ba2SO4
1.0
6.005 0.000 0.000
0.000 6.005 0.000
-3.003 -3.003 3.671
Ba O S
2 4 1
Direct
0.750 0.250 0.500 Ba
0.250 0.750 0.500 Ba
0.708 0.708 0.000 O
0.292 0.292 0.000 O
0.708 0.292 0.000 O
0.292 0.708 0.000 O
0.500 0.500 0.000 S
```